No. 1
## Ca3Mg (PBEsol)

Data for a relaxed Ca3Mg crystal.

Lattice parameters (Å, degrees): 11.0397 11.0397 11.0397 152.78 152.78 38.87
With the nearest neighbours (Å) after each atom.
Fractional positions:
Ca (0.0000, 0.5000, 0.5000)  8 Ca 3.66-3.67, 4 Mg 3.72
Ca (0.1235, 0.1235, 0.0000)  8 Ca 3.66-3.70, 4 Mg 3.67
Ca (0.2500, 0.7500, 0.5000)  4 Mg 3.63, 8 Ca 3.67-3.70
Ca (0.5000, 0.0000, 0.5000)  8 Ca 3.66-3.67, 4 Mg 3.72
Ca (0.7500, 0.2500, 0.5000)  4 Mg 3.63, 8 Ca 3.67-3.70
Ca (0.8765, 0.8765, 0.0000)  8 Ca 3.66-3.70, 4 Mg 3.67
Mg (0.3720, 0.3720, 0.0000)  12 Ca 3.63-3.72
Mg (0.6280, 0.6280, 0.0000)  12 Ca 3.63-3.72

Computed properties:
The volume comes out at 280.9 Å³/cell. For the density of states at the Fermi level, the calculation gives 4.81 states/eV/f.u. For the calculated total energy, the calculation gives -2.04 eV/atom. The calculation puts the formation energy at -5 kJ/mol of formula units.



No. 2
## CrCoIr3 (PBEsol)

Data for a relaxed CrCoIr3 crystal.

Lattice parameters (Å, degrees): 4.3843 4.3843 4.3843 90.00 90.00 90.00
With the nearest neighbours (Å) after each atom.
Fractional positions:
Cr (0.0000, 0.0000, 0.0000)  6 Ir 2.19
Co (0.5000, 0.5000, 0.5000)  12 Ir 3.10
Ir (0.0000, 0.0000, 0.5000)  2 Cr 2.19
Ir (0.0000, 0.5000, 0.0000)  2 Cr 2.19
Ir (0.5000, 0.0000, 0.0000)  2 Cr 2.19

Computed properties:
The volume comes out at 84.3 Å³/cell. For the density of states at the Fermi level, the calculation gives 10.01 states/eV/f.u. For the calculated total energy, the calculation gives -7.79 eV/atom. The calculation puts the formation energy at 818 kJ/mol of formula units.



Look up the calculated total energy of the second one. -7.79 eV/atom